Computed, not measured: a PBEsol-optimized structure of Ba2CrBiO6 at the meta-GGA SCAN level of DFT.

a = 5.8869 Å, b = 5.8869 Å, c = 5.8869 Å
α = 60.00°, β = 60.00°, γ = 60.00°
Last column: magnetic moment on the atom in μB.
Fractional coordinates of all 10 atoms:
Cr 0.5000 0.5000 0.5000  1.25
Bi 0.0000 0.0000 0.0000  0.01
O 0.7249 0.2751 0.2751  -0.04
O 0.2751 0.2751 0.7249  -0.04
O 0.7249 0.7249 0.2751  -0.04
O 0.2751 0.7249 0.2751  -0.04
O 0.2751 0.7249 0.7249  -0.04
O 0.7249 0.2751 0.7249  -0.04
Ba 0.7500 0.7500 0.7500  0.01
Ba 0.2500 0.2500 0.2500  0.01

Values from the calculation:
Raw formation energy = -2.202 eV/atom
Fermi-level density of states = 5.8 states/eV/cell
Symmetry = Fm-3m, No. 225